A relaxed La2H2Pd crystal. Source: Alexandria via LeMat-Bulk, functional GGA-PBE.

```
La2H2Pd
1.0
-3.3117 0.1015 1.7693
0.8038 -3.2560 1.6913
1.5423 1.7332 6.7742
La H Pd
2 2 1
Direct
0.3620 0.3620 0.2760
0.6380 0.6380 0.7240
0.2500 0.7500 0.5000
0.7500 0.2500 0.5000
0.0000 0.0000 0.0000
```

relative energy among the computed polymorphs	0.0000	eV/atom
E	-5.00	eV/atom

A relaxed LaH2Pd2 crystal. Source: Alexandria via LeMat-Bulk, functional GGA-PBE.

```
LaH2Pd2
1.0
-2.6458 -3.7696 0.8238
2.5834 0.2392 -3.8932
2.8535 -1.6106 1.7945
H Pd La
2 2 1
Direct
0.3333 0.6667 0.0012
0.6667 0.3333 0.9988
0.3333 0.6667 0.5012
0.6667 0.3333 0.4988
0.0000 0.0000 0.0000
```

relative energy among the computed polymorphs	0.0000	eV/atom
E	-4.96	eV/atom

A relaxed LaH3Pd crystal. Source: Alexandria via LeMat-Bulk, functional GGA-PBE.

```
LaH3Pd
1.0
-1.7155 3.2009 1.4965
-1.2278 -2.0998 3.0840
3.5166 0.9331 2.0354
H La Pd
3 1 1
Direct
0.0000 0.0000 0.4725
0.0000 0.5000 0.6065
0.5000 0.0000 0.6065
0.0000 0.0000 0.9665
0.5000 0.5000 0.6118
```

E	-4.25	eV/atom

A relaxed LaH8Pd6 crystal. Source: Alexandria via LeMat-Bulk, functional GGA-PBE.

```
LaH8Pd6
1.0
-2.6652 -4.3937 -1.6809
1.9725 1.5169 -4.8001
4.4268 -2.5081 1.8292
H Pd La
8 6 1
Direct
0.3735 0.1818 0.7742
0.7742 0.3735 0.1818
0.6809 0.6809 0.6809
0.2258 0.6265 0.8182
0.6265 0.8182 0.2258
0.8182 0.2258 0.6265
0.3191 0.3191 0.3191
0.1818 0.7742 0.3735
0.8597 0.6776 0.4097
0.5903 0.1403 0.3224
0.6776 0.4097 0.8597
0.4097 0.8597 0.6776
0.3224 0.5903 0.1403
0.1403 0.3224 0.5903
0.0000 0.0000 0.0000
```

E	-4.43	eV/atom

A relaxed LaH3Pd crystal. Source: Alexandria via LeMat-Bulk, functional GGA-PBE.

```
LaH3Pd
1.0
4.3528 0.0000 0.0000
0.0000 4.3528 0.0000
0.0000 0.0000 4.3528
H La Pd
3 1 1
Direct
0.5000 0.0000 0.0000
0.0000 0.5000 0.0000
0.0000 0.0000 0.5000
0.0000 0.0000 0.0000
0.5000 0.5000 0.5000
```

E	-3.79	eV/atom

A relaxed LaH3Pd3 crystal. Source: Alexandria via LeMat-Bulk, functional GGA-PBE.

```
LaH3Pd3
1.0
5.5972 0.0000 0.0000
0.0000 5.5972 0.0000
0.0000 0.0000 5.5972
Pd H La
6 6 2
Direct
0.5000 0.0000 0.2500
0.0000 0.7500 0.5000
0.5000 0.0000 0.7500
0.7500 0.5000 0.0000
0.2500 0.5000 0.0000
0.0000 0.2500 0.5000
0.5000 0.2500 0.0000
0.2500 0.0000 0.5000
0.0000 0.5000 0.2500
0.5000 0.7500 0.0000
0.7500 0.0000 0.5000
0.0000 0.5000 0.7500
0.0000 0.0000 0.0000
0.5000 0.5000 0.5000
```

relative energy among the computed polymorphs	0.0000	eV/atom
E	-4.85	eV/atom

A relaxed La2HPd crystal. Source: Alexandria via LeMat-Bulk, functional GGA-PBE.

```
La2HPd
1.0
-3.2555 1.0104 2.4167
0.0796 -0.8745 4.0851
1.5523 5.6894 3.3246
La Pd H
2 1 1
Direct
0.7569 0.7569 0.7293
0.2431 0.2431 0.2707
0.0000 0.0000 0.0000
0.5000 0.5000 0.5000
```

relative energy among the computed polymorphs	0.0000	eV/atom
E	-5.11	eV/atom

A relaxed LaH3Pd crystal. Source: Alexandria via LeMat-Bulk, functional GGA-PBE.

```
LaH3Pd
1.0
-16.5729 3.7182 4.3232
-0.7998 -5.2638 1.4611
6.7584 -0.8249 0.7277
H La Pd
12 4 4
Direct
0.5143 0.7516 0.0103
0.6269 0.7500 0.6260
0.2497 0.5005 0.7496
0.7497 0.9995 0.2496
0.0143 0.7484 0.5103
0.7503 0.4995 0.2504
0.2503 0.0005 0.7504
0.4857 0.2484 0.9897
0.8731 0.2500 0.8740
0.9857 0.2516 0.4897
0.1269 0.7500 0.1260
0.3731 0.2500 0.3740
0.6310 0.2500 0.6360
0.8690 0.7500 0.8640
0.3690 0.7500 0.3640
0.1310 0.2500 0.1360
0.8592 0.7507 0.3588
0.1408 0.2493 0.6412
0.6408 0.2507 0.1412
0.3592 0.7493 0.8588
```

E	-4.52	eV/atom

A relaxed LaH3Pd crystal. Source: Alexandria via LeMat-Bulk, functional GGA-PBE.

```
LaH3Pd
1.0
-5.1336 -2.8844 0.9297
-4.7151 1.5338 3.3096
-5.5488 1.4173 -1.6554
Pd La H
2 2 6
Direct
0.1786 0.1786 0.1786
0.8214 0.8214 0.8214
0.3987 0.3987 0.3987
0.6013 0.6013 0.6013
0.4168 0.9082 0.9082
0.9082 0.4168 0.9082
0.0918 0.5832 0.0918
0.5832 0.0918 0.0918
0.0918 0.0918 0.5832
0.9082 0.9082 0.4168
```

E	-4.38	eV/atom

A relaxed LaH3Pd crystal. Source: Alexandria via LeMat-Bulk, functional GGA-PBE.

```
LaH3Pd
1.0
-3.3866 -7.3033 -0.9199
3.1404 -1.2540 -1.6085
1.3243 -1.0421 3.3978
H La Pd
6 2 2
Direct
0.5298 0.6082 0.3663
0.9640 0.1109 0.8663
0.4009 0.1081 0.8663
0.9666 0.6108 0.3664
0.7627 0.6105 0.8664
0.1680 0.1103 0.3663
0.7776 0.1111 0.3663
0.1530 0.6110 0.8663
0.5419 0.6125 0.8663
0.3888 0.1126 0.3663
```

E	-4.59	eV/atom

A relaxed LaH3Pd crystal. Source: Alexandria via LeMat-Bulk, functional GGA-PBE.

```
LaH3Pd
1.0
3.7956 0.0000 1.8211
-1.8978 3.2871 1.8211
-1.8978 -3.2871 1.8211
Pd H La
1 3 1
Direct
0.9752 0.9752 0.9752
0.6868 0.0852 0.6868
0.6868 0.6868 0.0852
0.0852 0.6868 0.6868
0.4410 0.4410 0.4410
```

E	-4.32	eV/atom

Question: Look up the E of the seventh one.
Answer: -5.11 eV/atom